Entry 1:
A plane-wave DFT calculation with PBE was carried out for crystalline SrMgTa2 at its relaxed geometry.

It has space group I-42d (No. 122), with a = 4.8460 Å, b = 4.8460 Å, c = 21.2888 Å, α = 90.00°, β = 90.00° and γ = 90.00°. The asymmetric unit holds Sr at (0.0000, 0.0000, 0.0000), Mg at (0.0000, 0.0000, 0.5000) and Ta at (0.0449, 0.2500, 0.6250).

The density of states at the Fermi level is 22.95 states/eV/cell. As for the formation energy: 5.10 eV per formula unit. The calculation puts the total energy at -5.4709 eV/atom.

---

Entry 2:
A plane-wave DFT calculation with PBE was carried out for crystalline Ba2PuBi2 at its relaxed geometry.

It has space group Ibam (No. 72), with a = 8.8080 Å, b = 14.3848 Å, c = 6.9675 Å, α = 90.00°, β = 90.00° and γ = 90.00°. The asymmetric unit holds Ba at (0.1544, 0.1434, 0.0000), Pu at (0.0000, 0.5000, 0.2500) and Bi at (0.2452, 0.3846, 0.0000).

The density of states at the Fermi level is 41.89 states/eV/cell. As for the formation energy: -3.25 eV per formula unit. The calculation puts the total energy at -5.8377 eV/atom.

---

Entry 3:
A plane-wave DFT calculation with PBE was carried out for crystalline HfBTe2N at its relaxed geometry.

It has space group P4/mmm (No. 123), with a = 5.7836 Å, b = 5.7836 Å, c = 2.8478 Å, α = 90.00°, β = 90.00° and γ = 90.00°. The asymmetric unit holds Hf at (0.0000, 0.0000, 0.0000), B at (0.5000, 0.5000, 0.5000), Te at (0.0000, 0.5000, 0.5000) and N at (0.5000, 0.5000, 0.0000).

Its energy relative to the elements, uncorrected is 0.196 eV per atom. The density of states at the Fermi level is 3.37 states/eV/cell. The calculation puts the total energy at -6.0519 eV/atom.